No. 1
Ac6IrPd2Br3 | GGA-PBE | relaxed

## Properties
energy = -5.21 eV/atom
magnetization = 0.000 μB/atom
DOS(E_F) = 16.6 states/eV per cell

a = 20.895 Å, b = 4.428 Å, c = 9.726 Å
α = 90.00°, β = 110.65°, γ = 90.00°
Space group C2/m (No. 12)
Unique sites:
1 Ac 0.009 0.000 0.213 (multiplicity 4)
2 Ac 0.151 0.500 0.108 (multiplicity 4)
3 Ac 0.177 0.500 0.554 (multiplicity 4)
4 Ir 0.000 0.500 0.000 (multiplicity 2)
5 Pd 0.167 0.000 0.334 (multiplicity 4)
6 Br 0.000 0.500 0.500 (multiplicity 2)
7 Br 0.167 0.000 0.831 (multiplicity 4)

No. 2
CeSm5Sb5 | GGA-PBE | relaxed

## Properties
energy = -5.53 eV/atom
magnetization = 0.071 μB/atom
DOS(E_F) = 23.9 states/eV per cell

a = 14.001 Å, b = 6.282 Å, c = 8.862 Å
α = 90.00°, β = 108.44°, γ = 90.00°
Space group C2/m (No. 12)
Unique sites:
1 Ce 0.000 0.000 0.000 (multiplicity 2)
2 Sm 0.000 0.000 0.500 (multiplicity 2)
3 Sm 0.167 0.500 0.334 (multiplicity 4)
4 Sm 0.167 0.500 0.833 (multiplicity 4)
5 Sb 0.000 0.500 0.000 (multiplicity 2)
6 Sb 0.167 0.000 0.335 (multiplicity 4)
7 Sb 0.168 0.000 0.832 (multiplicity 4)

No. 3
Dy2NpPaN6 | GGA-PBE | relaxed

## Properties
energy = -9.52 eV/atom
magnetization = 0.007 μB/atom

a = 5.8793 Å, b = 5.8793 Å, c = 14.6728 Å
α = 90.00°, β = 90.00°, γ = 120.00°
Space group R3 (No. 146, hexagonal axes)
Unique sites:
1 Dy 0.0000 0.0000 0.0000 (multiplicity 3)
2 Dy 0.0000 0.0000 0.4959 (multiplicity 3)
3 Np 0.0000 0.0000 0.7194 (multiplicity 3)
4 Pa 0.0000 0.0000 0.2242 (multiplicity 3)
5 N 0.0642 0.3464 0.7906 (multiplicity 9)
6 N 0.0709 0.6972 0.2948 (multiplicity 9)

No. 4
BeRhPb2 | GGA-PBE | relaxed

## Properties
ΔH_f (0 K) = 438.2 meV per atom
magnetization = 0.000 μB/atom
DOS(E_F) = 4.6 states/eV per cell

a = 4.046 Å, b = 5.121 Å, c = 7.726 Å
α = 90.00°, β = 90.00°, γ = 90.00°
Space group Immm (No. 71)
Unique sites:
1 Be 0.000 0.000 0.000 (multiplicity 2)
2 Rh 0.000 0.000 0.500 (multiplicity 2)
3 Pb 0.000 0.500 0.261 (multiplicity 4)

No. 5
Ce2Bi | GGA-PBE | relaxed

## Properties
ΔH_f (0 K) = -536.7 meV per atom
magnetization = 0.602 μB/atom
DOS(E_F) = 46.4 states/eV per cell

a = 4.536 Å, b = 4.536 Å, c = 17.982 Å
α = 90.00°, β = 90.00°, γ = 90.00°
Space group I4/mmm (No. 139)
Unique sites:
1 Ce 0.000 0.000 0.176 (multiplicity 4)
2 Ce 0.000 0.500 0.000 (multiplicity 4)
3 Bi 0.000 0.000 0.362 (multiplicity 4)

No. 6
NaCaH4Pd2 | GGA-PBE | relaxed

## Properties
energy = -3.83 eV/atom
magnetization = 0.000 μB/atom
DOS(E_F) = 1.1 states/eV per cell

a = 3.680 Å, b = 3.680 Å, c = 6.880 Å
α = 90.00°, β = 90.00°, γ = 90.00°
Space group P4/mmm (No. 123)
Unique sites:
1 Na 0.000 0.000 0.000 (multiplicity 1)
2 Ca 0.000 0.000 0.500 (multiplicity 1)
3 H 0.000 0.500 0.256 (multiplicity 4)
4 Pd 0.500 0.500 0.254 (multiplicity 2)

No. 7
Sr2LaBe | GGA-PBE | relaxed

## Properties
ΔH_f (0 K) = 343.2 meV per atom
magnetization = 0.000 μB/atom
DOS(E_F) = 11.5 states/eV per cell

a = 3.676 Å, b = 4.919 Å, c = 16.843 Å
α = 90.00°, β = 90.00°, γ = 90.00°
Space group Immm (No. 71)
Unique sites:
1 Sr 0.000 0.000 0.163 (multiplicity 4)
2 La 0.000 0.500 0.000 (multiplicity 2)
3 Be 0.000 0.500 0.500 (multiplicity 2)

No. 8
Zr2RuN | GGA-PBE | relaxed

## Properties
energy = -9.68 eV/atom
magnetization = 0.000 μB/atom
DOS(E_F) = 8.4 states/eV per cell

a = 4.521 Å, b = 12.020 Å, c = 4.603 Å
α = 90.00°, β = 90.00°, γ = 90.00°
Space group Cmcm (No. 63)
Unique sites:
1 Zr 0.000 0.100 0.250 (multiplicity 4)
2 Zr 0.000 0.389 0.250 (multiplicity 4)
3 Ru 0.000 0.261 0.750 (multiplicity 4)
4 N 0.000 0.084 0.750 (multiplicity 4)

No. 9
SrNdSi | GGA-PBE | relaxed

## Properties
energy = -4.26 eV/atom
magnetization = 0.000 μB/atom
DOS(E_F) = 10.1 states/eV per cell

a = 7.325 Å, b = 7.325 Å, c = 7.325 Å
α = 90.00°, β = 90.00°, γ = 90.00°
Space group F-43m (No. 216)
Unique sites:
1 Sr 0.000 0.000 0.000 (multiplicity 4)
2 Nd 0.000 0.000 0.500 (multiplicity 4)
3 Si 0.250 0.250 0.250 (multiplicity 4)

No. 10
CaNd4Ho4 | GGA-PBE | relaxed

## Properties
ΔH_f (0 K) = 59.9 meV per atom
magnetization = 0.000 μB/atom
DOS(E_F) = 24.7 states/eV per cell

a = 6.717 Å, b = 9.129 Å, c = 10.643 Å
α = 105.61°, β = 100.20°, γ = 96.66°
Space group P-1 (No. 2)
Unique sites:
1 Ca 0.004 0.260 0.257 (multiplicity 2)
2 Nd 0.129 0.358 0.610 (multiplicity 2)
3 Nd 0.222 0.957 0.398 (multiplicity 2)
4 Nd 0.331 0.069 0.745 (multiplicity 2)
5 Nd 0.405 0.652 0.949 (multiplicity 2)
6 Ho 0.061 0.313 0.932 (multiplicity 2)
7 Ho 0.275 0.028 0.066 (multiplicity 2)
8 Ho 0.336 0.579 0.249 (multiplicity 2)
9 Ho 0.450 0.689 0.591 (multiplicity 2)

No. 11
CaZn2Se | GGA-PBE | relaxed

## Properties
energy = -2.53 eV/atom
magnetization = 0.000 μB/atom
DOS(E_F) = 0.2 states/eV per cell

a = 8.174 Å, b = 8.174 Å, c = 5.504 Å
α = 90.00°, β = 90.00°, γ = 90.00°
Space group I-42d (No. 122)
Unique sites:
1 Ca 0.000 0.000 0.000 (multiplicity 4)
2 Zn 0.209 0.250 0.625 (multiplicity 8)
3 Se 0.000 0.000 0.500 (multiplicity 4)

No. 12
ErZnCu6 | GGA-PBE | relaxed

## Properties
ΔH_f (0 K) = 3.0 meV per atom
magnetization = 0.000 μB/atom
DOS(E_F) = 3.4 states/eV per cell

a = 4.864 Å, b = 4.864 Å, c = 4.864 Å
α = 90.00°, β = 90.00°, γ = 90.00°
Space group Pm-3 (No. 200)
Unique sites:
1 Er 0.000 0.000 0.000 (multiplicity 1)
2 Zn 0.500 0.500 0.500 (multiplicity 1)
3 Cu 0.000 0.258 0.500 (multiplicity 6)

No. 13
TaTiS3 | GGA-PBE | relaxed

## Properties
magnetization = 0.000 μB/atom
energy above the most stable polymorph in this dataset = 0.000 eV/atom
DOS(E_F) = 4.0 states/eV per cell

a = 6.161 Å, b = 3.335 Å, c = 8.923 Å
α = 90.00°, β = 104.04°, γ = 90.00°
Space group P2_1/m (No. 11)
Unique sites:
1 Ta 0.122 0.250 0.140 (multiplicity 2)
2 Ti 0.278 0.250 0.504 (multiplicity 2)
3 S 0.026 0.750 0.336 (multiplicity 2)
4 S 0.270 0.750 0.991 (multiplicity 2)
5 S 0.488 0.750 0.677 (multiplicity 2)

No. 14
Th2BeGe4Pt3 | GGA-PBE | relaxed

## Properties
ΔH_f (0 K) = -804.4 meV per atom
magnetization = 0.000 μB/atom
DOS(E_F) = 1.5 states/eV per cell

a = 4.179 Å, b = 4.179 Å, c = 10.789 Å
α = 90.00°, β = 90.00°, γ = 90.00°
Space group P-4m2 (No. 115)
Unique sites:
1 Th 0.000 0.500 0.242 (multiplicity 2)
2 Be 0.500 0.500 0.000 (multiplicity 1)
3 Ge 0.000 0.000 0.500 (multiplicity 1)
4 Ge 0.000 0.500 0.873 (multiplicity 2)
5 Ge 0.500 0.500 0.500 (multiplicity 1)
6 Pt 0.000 0.000 0.000 (multiplicity 1)
7 Pt 0.000 0.500 0.644 (multiplicity 2)